Entry a
Entry from the Open Quantum Materials Database: a geometry-optimized Os2C3 structure (GGA-PBE).

Calculated density   14420 kg/m³

abc: 2.689 2.689 15.315
angles: 90.00 90.00 120.00
Positions (direct):
Os: 0.667 0.333 0.656
C: 0.667 0.333 0.514
Os: 0.333 0.667 0.156
C: 0.333 0.667 0.486
C: 0.333 0.667 0.014
C: 0.333 0.667 0.750
Os: 0.667 0.333 0.844
C: 0.667 0.333 0.250
Os: 0.333 0.667 0.344
C: 0.667 0.333 0.986

Entry b
Entry from the Open Quantum Materials Database: a geometry-optimized Os2C3 structure (GGA-PBE).

Calculated density   14086 kg/m³

abc: 10.068 7.622 5.119
angles: 90.00 90.00 90.00
Positions (direct):
Os: 0.766 0.686 0.251
C: 0.382 0.619 0.585
C: 0.882 0.881 0.415
C: 0.118 0.881 0.085
C: 0.118 0.119 0.585
Os: 0.500 0.425 0.750
C: 0.618 0.381 0.415
Os: 0.500 0.575 0.250
C: 0.075 0.299 0.040
C: 0.382 0.381 0.085
C: 0.575 0.799 0.460
C: 0.688 0.929 0.113
C: 0.618 0.619 0.915
C: 0.812 0.571 0.613
C: 0.425 0.201 0.540
C: 0.688 0.071 0.613
Os: 0.734 0.814 0.751
Os: 0.000 0.517 0.250
Os: 0.000 0.483 0.750
C: 0.925 0.299 0.460
C: 0.188 0.429 0.387
Os: 0.766 0.314 0.751
Os: 0.234 0.314 0.749
C: 0.312 0.929 0.387
Os: 0.734 0.186 0.251
Os: 0.000 0.075 0.250
Os: 0.500 0.017 0.250
C: 0.925 0.701 0.960
Os: 0.234 0.686 0.249
C: 0.188 0.571 0.887
C: 0.575 0.201 0.960
C: 0.312 0.071 0.887
Os: 0.000 0.925 0.750
C: 0.882 0.119 0.915
Os: 0.500 0.983 0.750
C: 0.075 0.701 0.540
Os: 0.266 0.814 0.749
C: 0.425 0.799 0.040
C: 0.812 0.429 0.113
Os: 0.266 0.186 0.249

Relative energy table, unit kJ/mol of atoms: entry a 0.0; entry b 39.6